## SrGeMoO6 (PBE+U)

Data for crystalline SrGeMoO6 at its relaxed geometry.

Cell: 4.912 4.912 9.478 Å, 90.00 90.00 90.00°
Fractional coordinates of all 18 atoms:
Sr 0.000 0.000 0.000
Sr 0.500 0.500 0.500
Ge 0.000 0.000 0.331
Ge 0.500 0.500 0.831
Mo 0.000 0.000 0.665
Mo 0.500 0.500 0.165
O 0.164 0.164 0.492
O 0.225 0.225 0.195
O 0.225 0.225 0.790
O 0.275 0.725 0.290
O 0.275 0.725 0.695
O 0.336 0.664 0.992
O 0.664 0.336 0.992
O 0.725 0.275 0.290
O 0.725 0.275 0.695
O 0.775 0.775 0.195
O 0.775 0.775 0.790
O 0.836 0.836 0.492

Calculated values
Crystal system = tetragonal
Electronic total energy = -6.569 eV per atom
Total magnetic moment = 0.0 Bohr magnetons per cell